8
Lattice="6.169 0.000 0.000 0.000 3.579 0.000 -2.045 0.000 5.838" Properties=species:S:1:pos:R:3 comment="Sm2ErThN4 | the Alexandria database | GGA-PBE | optimized geometry" vol_a3_per_atom=16.11 total_energy_ev_per_cell=-67.490 rho_kg_m3=9739 formation_energy_uncorrected_ev_per_atom=-1.596 pbc="T T T"
Sm 0.000 0.000 0.000
Sm 3.085 1.790 0.000
Er -1.022 1.790 2.919
Th 2.062 0.000 2.919
N 0.003 0.000 4.317
N 1.013 1.790 1.511
N 3.111 1.790 4.327
N 4.121 0.000 1.521